1.
{"formula": "NdDyMg3", "functional": "PBE-GGA", "state": "relaxed", "cell": [[3.184, -7.646, 0.000], [3.184, 7.646, 0.000], [0.000, 0.000, 5.883]], "species": ["Nd", "Nd", "Dy", "Dy", "Mg", "Mg", "Mg", "Mg", "Mg", "Mg"], "fractional_positions": [[0.105, 0.895, 0.750], [0.895, 0.105, 0.250], [0.309, 0.691, 0.250], [0.691, 0.309, 0.750], [0.119, 0.399, 0.750], [0.399, 0.119, 0.250], [0.500, 0.500, 0.000], [0.500, 0.500, 0.500], [0.601, 0.881, 0.750], [0.881, 0.601, 0.250]], "dft_energy_ev_per_atom": -2.762, "e_form_kj_per_mol_atoms": 7, "polymorph_energy_ev_per_atom": 0.044}

2.
{"formula": "Nb3AlOs", "functional": "PBE-GGA", "state": "relaxed", "cell": [[4.850, 0.000, 0.000], [0.000, 4.850, 0.000], [0.000, 0.000, 4.850]], "species": ["Nb", "Nb", "Nb", "Al", "Os"], "fractional_positions": [[0.000, 0.000, 0.500], [0.000, 0.500, 0.000], [0.500, 0.000, 0.000], [0.500, 0.500, 0.500], [0.000, 0.000, 0.000]], "dft_energy_ev_per_atom": -8.071, "e_form_kj_per_mol_atoms": 93, "polymorph_energy_ev_per_atom": 0.000}

3.
{"formula": "Rb2Zn2Sb", "functional": "PBE-GGA", "state": "relaxed", "cell": [[7.594, 0.000, 0.000], [0.000, 7.594, 0.000], [0.000, 0.000, 5.707]], "species": ["Rb", "Rb", "Rb", "Rb", "Zn", "Zn", "Zn", "Zn", "Sb", "Sb"], "fractional_positions": [[0.190, 0.310, 0.000], [0.310, 0.810, 0.000], [0.690, 0.190, 0.000], [0.810, 0.690, 0.000], [0.121, 0.621, 0.500], [0.379, 0.121, 0.500], [0.621, 0.879, 0.500], [0.879, 0.379, 0.500], [0.000, 0.000, 0.500], [0.500, 0.500, 0.500]], "dft_energy_ev_per_atom": -1.769, "formation_energy_uncorrected_ev_per_atom": -0.048}

4.
{"formula": "LiSc2Ag", "functional": "PBE-GGA", "state": "relaxed", "cell": [[5.244, -1.641, 0.000], [5.244, 1.641, 0.000], [-1.641, 0.000, 4.761]], "species": ["Li", "Sc", "Sc", "Ag"], "fractional_positions": [[0.000, 0.000, 0.000], [0.542, 0.542, 0.540], [0.766, 0.766, 0.197], [0.290, 0.290, 0.719]], "dft_energy_ev_per_atom": -4.381, "e_form_kj_per_mol_atoms": -2}

5.
{"formula": "Al2C3N6", "functional": "PBE-GGA", "state": "relaxed", "cell": [[2.746, 1.586, 9.220], [-2.746, 1.586, 9.220], [0.000, -3.171, 9.220]], "species": ["Al", "Al", "Al", "Al", "C", "C", "C", "C", "C", "C", "N", "N", "N", "N", "N", "N", "N", "N", "N", "N", "N", "N"], "fractional_positions": [[0.165, 0.165, 0.165], [0.335, 0.335, 0.335], [0.665, 0.665, 0.665], [0.835, 0.835, 0.835], [0.062, 0.750, 0.438], [0.250, 0.562, 0.938], [0.438, 0.062, 0.750], [0.562, 0.938, 0.250], [0.750, 0.438, 0.062], [0.938, 0.250, 0.562], [0.041, 0.650, 0.429], [0.071, 0.850, 0.459], [0.150, 0.541, 0.929], [0.350, 0.571, 0.959], [0.429, 0.041, 0.650], [0.459, 0.071, 0.850], [0.541, 0.929, 0.150], [0.571, 0.959, 0.350], [0.650, 0.429, 0.041], [0.850, 0.459, 0.071], [0.929, 0.150, 0.541], [0.959, 0.350, 0.571]], "dft_energy_ev_per_atom": -8.157, "formation_energy_uncorrected_ev_per_atom": -0.419}

6.
{"formula": "Ca3HfCu", "functional": "PBE-GGA", "state": "relaxed", "cell": [[5.920, 0.000, 0.000], [0.000, 5.920, 0.000], [0.000, 0.000, 5.920]], "species": ["Ca", "Ca", "Ca", "Hf", "Cu"], "fractional_positions": [[0.000, 0.000, 0.500], [0.000, 0.500, 0.000], [0.500, 0.000, 0.000], [0.000, 0.000, 0.000], [0.500, 0.500, 0.500]], "dft_energy_ev_per_atom": -2.745, "e_form_kj_per_mol_atoms": 122, "polymorph_energy_ev_per_atom": 0.696}

7.
{"formula": "Ga2Si2Pb", "functional": "PBE-GGA", "state": "relaxed", "cell": [[-2.325, 2.325, 4.748], [2.325, -2.325, 4.748], [2.325, 2.325, -4.748]], "species": ["Ga", "Ga", "Si", "Si", "Pb"], "fractional_positions": [[0.250, 0.750, 0.500], [0.750, 0.250, 0.500], [0.125, 0.125, 0.000], [0.875, 0.875, 0.000], [0.500, 0.500, 0.000]], "dft_energy_ev_per_atom": -3.940, "formation_energy_uncorrected_ev_per_atom": 0.182, "polymorph_energy_ev_per_atom": 0.000}

8.
{"formula": "CsSb2TeS", "functional": "PBE-GGA", "state": "relaxed", "cell": [[6.537, 0.000, 0.000], [0.000, 6.537, 0.000], [0.000, 0.000, 6.545]], "species": ["Cs", "Sb", "Sb", "Te", "S"], "fractional_positions": [[0.000, 0.000, 0.000], [0.000, 0.500, 0.000], [0.500, 0.000, 0.000], [0.000, 0.000, 0.500], [0.500, 0.500, 0.500]], "dft_energy_ev_per_atom": -1.581, "formation_energy_uncorrected_ev_per_atom": 1.693, "polymorph_energy_ev_per_atom": 1.543}

> Which formula does entry 5 have?

Al2C3N6